No. 1
Density functional theory data (PBE-GGA) for a geometry-optimized CeLuTlPt structure.

Results
size of the total moment: 0.5 μB per formula unit
DFT formation energy: -0.587 eV per atom
symmetry: No. 216
Fermi-level density of states: 1.426 states/eV/atom
theoretical density: 12.117 g/cm³

Lattice parameters (Å, degrees): 5.174 5.174 5.174 60.00 60.00 60.00
Sites, in units of the cell vectors:
Pt (0.750, 0.750, 0.750)
Ce (0.000, 0.000, 0.000)
Tl (0.250, 0.250, 0.250)
Lu (0.500, 0.500, 0.500)

=====

No. 2
Density functional theory data (PBE-GGA) for a geometry-optimized CeLuZnPt structure.

Results
size of the total moment: 0.2 μB per formula unit
DFT formation energy: -0.696 eV per atom
symmetry: No. 216
Fermi-level density of states: 1.603 states/eV/atom
theoretical density: 10.874 g/cm³

Lattice parameters (Å, degrees): 4.991 4.991 4.991 60.00 60.00 60.00
Sites, in units of the cell vectors:
Ce (0.500, 0.500, 0.500)
Zn (0.250, 0.250, 0.250)
Pt (0.750, 0.750, 0.750)
Lu (0.000, 0.000, 0.000)

=====

No. 3
Density functional theory data (PBE-GGA) for a geometry-optimized CeLuPu structure.

Results
distance to the lowest polymorph of the same formula: 0.0 kJ/mol of formula units
size of the total moment: 5.1 μB per formula unit
DFT formation energy: 0.106 eV per atom
symmetry: No. 107
Fermi-level density of states: 2.320 states/eV/atom
theoretical density: 11.247 g/cm³

Lattice parameters (Å, degrees): 3.431 3.431 7.422 103.36 103.36 90.00
Sites, in units of the cell vectors:
Ce (0.009, 0.009, 0.019)
Pu (0.659, 0.659, 0.318)
Lu (0.332, 0.332, 0.663)

=====

No. 4
Density functional theory data (PBE-GGA) for a geometry-optimized CeLuPu4 structure.

Results
size of the total moment: 23.1 μB per formula unit
DFT formation energy: 0.242 eV per atom
symmetry: No. 216
Fermi-level density of states: 4.451 states/eV/atom
theoretical density: 13.202 g/cm³

Lattice parameters (Å, degrees): 6.124 6.124 6.124 60.00 60.00 60.00
Sites, in units of the cell vectors:
Pu (0.625, 0.625, 0.625)
Pu (0.126, 0.625, 0.625)
Pu (0.625, 0.126, 0.625)
Pu (0.625, 0.625, 0.126)
Ce (0.250, 0.250, 0.250)
Lu (0.000, 0.000, 0.000)